A plane-wave DFT calculation with PBE-GGA was carried out for a geometry-optimized Pm2Pr3Er6Pu structure.

Results
Energy of formation ... 0.5 eV/f.u.
Symmetry ... No. 12
Final energy ... -5.419 eV per atom
D(E_F) ... 1.841 states/eV per atom
Calculated density ... 8.46 Mg/m³

Lattice parameters (Å, degrees): 6.207 6.207 11.714 95.07 95.07 120.01
Sites, in units of the cell vectors:
Er1 0.918 0.590 0.754
Er2 0.082 0.410 0.246
Er3 0.753 0.753 0.246
Er4 0.247 0.247 0.754
Er5 0.410 0.082 0.246
Er6 0.590 0.918 0.754
Pr1 0.167 0.833 0.500
Pr2 0.833 0.167 0.500
Pr3 0.500 0.500 0.500
Pm1 0.667 0.333 0.000
Pm2 0.333 0.667 0.000
Pu1 0.000 0.000 0.000

=====

A plane-wave DFT calculation with PBE-GGA was carried out for a geometry-optimized PmPrErPu structure.

Results
Energy of formation ... 0.9 eV/f.u.
Symmetry ... No. 216
Final energy ... -6.891 eV per atom
D(E_F) ... 3.342 states/eV per atom
Calculated density ... 8.93 Mg/m³

Lattice parameters (Å, degrees): 5.681 5.681 5.681 60.00 60.00 60.00
Sites, in units of the cell vectors:
Er1 0.500 0.500 0.500
Pr1 0.250 0.250 0.250
Pm1 0.750 0.750 0.750
Pu1 0.000 0.000 0.000

=====

A plane-wave DFT calculation with PBE-GGA was carried out for a geometry-optimized PmPrEr2S4 structure.

Results
Symmetry ... No. 10
Final energy ... -6.394 eV per atom
D(E_F) ... 0.461 states/eV per atom
Formation energy from raw total energies ... -15.984 eV per formula unit
Calculated density ... 7.03 Mg/m³

Lattice parameters (Å, degrees): 3.902 7.031 6.801 71.37 90.00 90.00
Sites, in units of the cell vectors:
S1 0.000 0.229 0.260
S2 0.000 0.771 0.740
S3 0.500 0.769 0.246
S4 0.500 0.231 0.754
Pm1 0.000 0.500 0.500
Er1 0.000 0.000 0.000
Er2 0.500 0.000 0.500
Pr1 0.500 0.500 0.000

=====

A plane-wave DFT calculation with PBE-GGA was carried out for a geometry-optimized PmPr3Er2S6 structure.

Results
Symmetry ... No. 12
Final energy ... -6.423 eV per atom
D(E_F) ... 0.427 states/eV per atom
Formation energy from raw total energies ... -24.092 eV per formula unit
Calculated density ... 6.62 Mg/m³

Lattice parameters (Å, degrees): 6.911 6.911 7.035 99.42 99.42 120.14
Sites, in units of the cell vectors:
Er1 0.666 0.334 0.000
Er2 0.334 0.666 0.000
S1 0.421 0.078 0.233
S2 0.266 0.266 0.770
S3 0.922 0.579 0.767
S4 0.579 0.922 0.767
S5 0.078 0.421 0.233
S6 0.734 0.734 0.230
Pm1 0.000 0.000 0.000
Pr1 0.838 0.162 0.500
Pr2 0.162 0.838 0.500
Pr3 0.500 0.500 0.500

=====

A plane-wave DFT calculation with PBE-GGA was carried out for a geometry-optimized Pm2PrEr3S6 structure.

Results
Symmetry ... No. 12
Final energy ... -6.394 eV per atom
D(E_F) ... 0.388 states/eV per atom
Formation energy from raw total energies ... -23.995 eV per formula unit
Calculated density ... 7.08 Mg/m³

Lattice parameters (Å, degrees): 3.917 8.028 8.903 104.51 102.71 90.00
Sites, in units of the cell vectors:
S1 0.337 0.407 0.674
S2 0.997 0.264 0.993
S3 0.672 0.075 0.344
S4 0.328 0.925 0.656
S5 0.663 0.593 0.326
S6 0.003 0.736 0.007
Er1 0.834 0.167 0.668
Er2 0.166 0.833 0.332
Er3 0.500 0.500 0.000
Pm1 0.833 0.667 0.667
Pm2 0.167 0.333 0.333
Pr1 0.500 0.000 0.000

=====

A plane-wave DFT calculation with PBE-GGA was carried out for a geometry-optimized Pm4PrErS8 structure.

Results
Symmetry ... No. 160
Final energy ... -6.300 eV per atom
D(E_F) ... 0.566 states/eV per atom
Formation energy from raw total energies ... -26.833 eV per formula unit
Calculated density ... 4.78 Mg/m³

Lattice parameters (Å, degrees): 8.277 8.277 8.226 59.79 59.79 60.00
Sites, in units of the cell vectors:
S1 0.782 0.234 0.750
S2 0.234 0.234 0.750
S3 0.234 0.782 0.750
S4 0.242 0.242 0.274
S5 0.756 0.756 0.732
S6 0.765 0.223 0.248
S7 0.765 0.765 0.248
S8 0.223 0.765 0.248
Pr1 0.377 0.377 0.870
Pm1 0.501 0.000 0.500
Pm2 0.000 0.501 0.500
Pm3 0.623 0.623 0.130
Pm4 0.000 0.000 0.500
Er1 0.000 0.000 0.001

=====

A plane-wave DFT calculation with PBE-GGA was carried out for a geometry-optimized PmPrEr4S8 structure.

Results
Symmetry ... No. 160
Final energy ... -6.259 eV per atom
D(E_F) ... 0.560 states/eV per atom
Formation energy from raw total energies ... -26.825 eV per formula unit
Calculated density ... 5.36 Mg/m³

Lattice parameters (Å, degrees): 8.059 8.059 8.131 60.29 60.29 60.00
Sites, in units of the cell vectors:
S1 0.783 0.245 0.727
S2 0.758 0.758 0.727
S3 0.236 0.236 0.291
S4 0.750 0.750 0.267
S5 0.245 0.783 0.727
S6 0.233 0.750 0.267
S7 0.750 0.233 0.267
S8 0.245 0.245 0.727
Er1 0.502 0.999 0.499
Er2 0.999 0.502 0.499
Er3 0.999 0.999 0.499
Er4 0.626 0.626 0.122
Pm1 0.999 0.999 0.002
Pr1 0.373 0.373 0.880

=====

A plane-wave DFT calculation with PBE-GGA was carried out for a geometry-optimized PmPr2ErS5 structure.

Results
Symmetry ... No. 123
Final energy ... -5.906 eV per atom
D(E_F) ... 0.585 states/eV per atom
Formation energy from raw total energies ... -13.641 eV per formula unit
Calculated density ... 5.10 Mg/m³

Lattice parameters (Å, degrees): 4.849 4.849 10.445 90.00 90.00 90.00
Sites, in units of the cell vectors:
S1 0.500 0.500 0.000
S2 0.000 0.000 0.750
S3 0.000 0.000 0.250
S4 0.500 0.000 0.500
S5 0.000 0.500 0.500
Pr1 0.500 0.500 0.304
Pr2 0.500 0.500 0.696
Pm1 0.000 0.000 0.000
Er1 0.000 0.000 0.500